# 1
ZrRh after structural relaxation. Source: Alexandria via LeMat-Bulk, functional PBEsol.

Results
- Energy of formation from the pure elements: -0.74 eV/atom

Unit cell a=3.249 b=3.249 c=3.249 alpha=90.00 beta=90.00 gamma=90.00
Space group Pm-3m (No. 221)
One atom of each set of equivalent atoms:
Zr: 0.000 0.000 0.000
Rh: 0.500 0.500 0.500

# 2
TiP2H4O9 after structural relaxation. Source: Alexandria via LeMat-Bulk, functional PBEsol.

Results
- DFT total energy: -447.4 eV per cell

Unit cell a=8.628 b=4.982 c=16.159 alpha=90.00 beta=109.68 gamma=90.00
Space group P2_1/c (No. 14)
One atom of each set of equivalent atoms:
Ti: 0.239 0.247 0.486
P: 0.001 0.748 0.391
P: 0.464 0.741 0.598
H: 0.159 0.064 0.232
H: 0.198 0.612 0.254
H: 0.305 0.687 0.828
H: 0.404 0.730 0.723
O: 0.059 0.039 0.407
O: 0.100 0.242 0.211
O: 0.113 0.166 0.059
O: 0.148 0.555 0.411
O: 0.259 0.716 0.764
O: 0.320 0.568 0.055
O: 0.375 0.160 0.412
O: 0.421 0.044 0.062
O: 0.500 0.241 0.800

| no. | Fermi-level density of states (states/eV per atom) |
| --- | --- |
| 1 | 1.01 |
| 2 | 0.00 |